No. 1
80
Lattice="11.098 0.000 0.000 -3.699 10.463 0.000 -3.699 -5.232 9.061" Properties=species:S:1:pos:R:3 comment="Ca3Tc5N12 (PBE-GGA, optimized geometry)" formation_energy_uncorrected_ev_per_atom=-0.220 rho_g_cm3=4.913 pbc="T T T"
Ca -2.774 1.962 7.929
Ca 8.323 0.000 2.265
Ca 6.474 7.194 1.133
Ca 2.774 5.886 5.663
Ca -0.925 4.578 5.663
Ca 2.774 0.000 6.796
Ca -2.774 -1.962 7.929
Ca -4.624 5.232 6.796
Ca 0.925 5.232 2.265
Ca 0.925 -0.654 3.398
Ca 6.474 3.270 1.133
Ca 4.624 0.654 3.398
N 2.017 -1.995 5.463
N 1.683 7.227 3.599
N 3.532 1.995 5.463
N 5.716 9.346 0.072
N -0.820 3.811 8.058
N 4.729 -1.036 5.259
N 1.146 -1.380 8.129
N -1.357 -0.657 4.459
N -1.029 6.268 3.802
N -0.703 3.852 0.932
N -0.493 0.918 1.732
N -2.017 -4.114 8.990
N -3.207 4.575 4.602
N 4.520 1.421 1.004
N -0.820 -2.775 6.263
N -1.146 0.117 7.401
N 4.403 -1.497 8.333
N 7.232 1.118 0.072
N 2.342 1.574 2.870
N 3.207 -1.574 2.870
N 0.167 3.237 3.599
N 2.553 3.735 0.729
N -3.532 4.114 8.990
N -0.703 6.729 0.729
N 4.192 4.314 7.329
N 2.553 6.611 0.932
N 2.879 4.195 3.802
N 0.493 6.806 6.192
N 1.357 3.657 6.192
N 6.906 0.657 4.459
N 4.846 5.114 1.661
N 6.042 -0.918 1.732
N 4.520 8.006 2.798
N 5.056 5.888 4.602
N -2.017 2.119 5.534
N -4.729 2.775 6.263
N 6.369 -3.811 8.058
N 8.102 5.349 1.661
N -2.342 6.149 7.329
N 1.146 1.497 8.333
N -3.866 7.351 3.527
N 8.428 2.457 2.798
N 0.820 1.036 5.259
N 5.716 3.113 3.527
N -2.670 9.042 1.004
N 4.403 1.380 8.129
N -4.403 -0.117 7.401
N 7.566 -2.119 5.534
Tc -1.850 -2.616 4.531
Tc 3.699 -2.616 4.531
Tc 0.925 -2.616 6.796
Tc 0.000 0.000 0.000
Tc -0.925 8.501 1.133
Tc 3.699 5.232 0.000
Tc 6.474 -0.654 5.663
Tc 1.850 2.616 4.531
Tc 5.549 0.000 0.000
Tc 4.624 -3.270 7.929
Tc -0.925 2.616 2.265
Tc 4.624 4.578 3.398
Tc 2.774 7.847 2.265
Tc 2.774 1.962 1.133
Tc -3.699 2.616 4.531
Tc -2.774 5.886 3.398
Tc 4.624 2.616 6.796
Tc -1.850 5.232 0.000
Tc 0.925 3.270 7.929
Tc -0.925 0.654 5.663

---

No. 2
14
Lattice="6.770 0.000 0.000 -3.385 5.863 0.000 0.000 0.000 8.298" Properties=species:S:1:pos:R:3 comment="Er9In3N2 (PBE-GGA, optimized geometry)" formation_energy_uncorrected_ev_per_atom=-0.772 rho_g_cm3=9.467 pbc="T T T"
N 3.385 1.954 1.368
N 0.000 3.909 6.931
Er -1.692 2.931 0.000
Er 5.044 0.996 2.729
Er 3.385 0.000 0.000
Er 1.659 4.867 5.569
Er 1.692 2.931 0.000
Er -1.659 4.867 5.569
Er 1.726 0.996 2.729
Er 0.000 1.993 5.569
Er 3.385 3.870 2.729
In 0.000 3.909 2.769
In 3.385 1.954 5.529
In 0.000 0.000 0.000

---

No. 3
12
Lattice="5.274 0.000 0.000 2.637 4.568 0.000 2.637 1.523 8.775" Properties=species:S:1:pos:R:3 comment="CsNpBe2F8 (PBE-GGA, optimized geometry)" formation_energy_uncorrected_ev_per_atom=-3.252 rho_g_cm3=4.241 pbc="T T T"
Be 2.637 1.523 2.323
Be 7.912 4.568 6.452
F 4.099 1.663 2.943
F 4.099 4.428 5.832
F 7.059 2.719 2.943
F 2.637 1.523 0.834
F 7.059 3.372 5.832
F 7.912 4.568 7.941
F 4.665 1.336 5.832
F 4.665 4.754 2.943
Cs 0.000 0.000 0.000
Np 5.274 3.045 4.388

---

No. 4
5
Lattice="3.547 0.000 0.000 0.000 3.547 0.000 0.000 0.000 3.547" Properties=species:S:1:pos:R:3 comment="TiB3O (PBE-GGA, optimized geometry)" de_polymorph_ev_per_atom=0.000 formation_energy_uncorrected_ev_per_atom=0.999 rho_g_cm3=3.582 pbc="T T T"
B 0.000 0.000 1.774
B 1.774 0.000 0.000
B 0.000 1.774 0.000
O 0.000 0.000 0.000
Ti 1.774 1.774 1.774

---

No. 5
4
Lattice="2.948 0.000 0.000 0.000 2.953 0.014 0.000 2.077 6.754" Properties=species:S:1:pos:R:3 comment="LiReP2 (PBE-GGA, optimized geometry)" e_form_ev_per_fu=-1.28 de_polymorph_ev_per_atom=0.000 rho_g_cm3=7.215 pbc="T T T"
Re 1.474 1.257 1.692
P 0.000 2.750 0.256
P 0.000 2.719 3.142
Li 1.474 3.772 5.076

---

No. 6
13
Lattice="-4.879 -4.710 -0.065 2.347 -7.364 3.644 -4.842 0.037 7.041" Properties=species:S:1:pos:R:3 comment="Na7InPb5 (PBE-GGA, optimized geometry)" e_form_ev_per_fu=-1.03 rho_g_cm3=5.226 pbc="T T T"
Na -4.266 -10.294 4.788
Na -7.830 -6.625 6.472
Na -3.460 -6.267 6.333
Na -1.615 -3.260 3.685
Na -1.188 -8.596 4.516
Na -4.353 -5.287 2.307
Na -6.030 -3.611 6.804
In -2.721 -7.078 9.662
Pb -7.390 -4.626 3.887
Pb -4.928 -2.249 3.920
Pb -1.017 -6.276 2.072
Pb -3.478 -8.652 2.039
Pb -5.720 -8.818 7.106

---

No. 7
7
Lattice="4.639 0.000 0.000 0.000 6.173 0.205 -2.320 -1.439 5.221" Properties=species:S:1:pos:R:3 comment="Ac2Ga2Ru3 (PBE-GGA, optimized geometry)" e_form_ev_per_fu=-1.78 rho_g_cm3=9.869 pbc="T T T"
Ac 2.320 4.639 1.514
Ac 0.000 0.095 3.912
Ru 0.000 3.218 3.513
Ru 0.000 0.000 0.000
Ru 2.320 1.516 1.912
Ga 2.320 2.576 4.190
Ga 0.000 2.157 1.236

---

No. 8
22
Lattice="8.050 0.000 -2.846 -4.025 6.971 -2.846 0.000 0.000 8.538" Properties=species:S:1:pos:R:3 comment="Ac3Sn2Rh6 (PBE-GGA, optimized geometry)" e_form_ev_per_fu=-6.48 rho_g_cm3=10.645 pbc="T T T"
Sn 4.025 0.000 -1.423
Sn 0.000 0.000 4.269
Sn -2.012 3.486 -1.423
Sn 2.012 3.486 1.423
Rh 5.256 0.000 1.105
Rh -1.397 2.419 4.587
Rh 1.397 2.419 3.951
Rh 0.000 4.839 0.000
Rh 2.794 0.000 4.587
Rh 2.628 4.552 -1.105
Rh 4.025 2.133 2.846
Rh 3.859 2.419 -2.846
Rh -0.166 4.552 2.846
Rh 4.191 2.419 0.000
Rh 0.166 4.552 -2.846
Rh -2.628 4.552 1.105
Ac 5.708 0.000 4.036
Ac 2.342 0.000 1.656
Ac -2.854 4.944 4.036
Ac -1.171 2.028 1.656
Ac 1.171 2.028 -1.656
Ac 2.854 4.944 -4.036

---

No. 9
12
Lattice="3.704 0.000 0.000 0.000 9.014 -1.311 0.000 -4.279 13.105" Properties=species:S:1:pos:R:3 comment="AcLaY3Er (PBE-GGA, optimized geometry)" e_form_ev_per_fu=0.17 rho_g_cm3=6.374 pbc="T T T"
Ac 0.926 -0.378 2.992
Ac 2.778 5.113 8.802
Y 0.926 3.866 5.829
Y 2.778 2.799 2.848
Y 0.926 1.936 8.946
Y 2.778 0.869 5.965
Y 2.778 3.120 11.832
Y 0.926 1.615 -0.038
La 2.778 6.202 3.769
La 0.926 -1.466 8.024
Er 2.778 -0.307 11.022
Er 0.926 5.042 0.772

---

No. 10
5
Lattice="4.934 0.000 0.000 0.000 4.934 0.000 0.000 0.000 4.934" Properties=species:S:1:pos:R:3 comment="Re3HgGe (PBE-GGA, optimized geometry)" e_form_ev_per_fu=16.33 de_polymorph_ev_per_atom=1.431 rho_g_cm3=11.499 pbc="T T T"
Hg 0.000 0.000 0.000
Re 0.000 2.467 0.000
Re 0.000 0.000 2.467
Re 2.467 0.000 0.000
Ge 2.467 2.467 2.467

---

No. 11
5
Lattice="2.822 0.000 0.000 0.000 2.822 0.000 1.411 1.411 6.912" Properties=species:S:1:pos:R:3 comment="Mn2HgC2 (PBE-GGA, optimized geometry)" e_form_ev_per_fu=3.57 de_polymorph_ev_per_atom=0.000 rho_g_cm3=10.089 pbc="T T T"
Mn 2.822 2.822 4.826
Mn 1.411 1.411 2.085
C 1.411 2.822 3.456
C 2.822 1.411 3.456
Hg 0.000 0.000 0.000

---

No. 12
8
Lattice="-2.978 1.045 -2.771 4.135 -2.556 -5.409 -4.580 -6.080 2.628" Properties=species:S:1:pos:R:3 comment="K2YErSe4 (PBE-GGA, optimized geometry)" formation_energy_uncorrected_ev_per_atom=-1.765 rho_g_cm3=4.603 pbc="T T T"
K -3.779 -2.517 -0.071
K -0.222 -4.318 -1.390
Er 0.579 -0.755 -4.090
Se -2.539 -5.524 0.645
Se 2.095 -3.112 -3.426
Se -1.975 -6.262 -3.423
Se -1.447 -1.329 -2.129
Y 0.000 0.000 0.000

---

No. 13
18
Lattice="5.601 0.361 -1.394 -2.117 6.845 0.205 0.036 0.313 7.161" Properties=species:S:1:pos:R:3 comment="PuGe2O6 (PBE-GGA, optimized geometry)" formation_energy_uncorrected_ev_per_atom=-2.040 rho_g_cm3=5.737 pbc="T T T"
O 0.016 6.809 5.556
O 4.075 4.804 3.390
O 2.288 2.762 2.026
O 1.231 4.756 3.946
O -0.756 6.326 2.742
O -0.556 2.715 2.582
O 3.503 0.710 0.417
O 3.077 6.197 5.702
O 0.400 4.273 0.455
O 3.119 3.246 5.517
O 0.442 1.322 0.270
O 4.275 1.192 3.231
Pu -0.474 6.199 0.641
Pu 3.993 1.320 5.331
Ge 0.680 2.773 1.313
Ge 2.839 4.746 4.660
Ge 3.818 1.927 1.708
Ge -0.300 5.592 4.264